# Cu3SnSe4

Crystalline Cu3SnSe4 at its relaxed geometry (PBE-GGA, the Alexandria database).

a b c (Å): 6.984 6.984 6.984
angles (deg): 131.94 131.94 70.33
Positions (direct):
Cu: 0.000 0.000 0.000
Cu: 0.250 0.750 0.500
Cu: 0.750 0.250 0.500
Sn: 0.500 0.500 0.000
Se: 0.101 0.101 0.468
Se: 0.367 0.899 0.000
Se: 0.633 0.633 0.532
Se: 0.899 0.367 0.000

Properties
As for the density of states at the Fermi level: 0.553 states/eV/atom. The calculation puts the formation energy (no corrections) at -2.29 eV/f.u. As for the space group: No. 121.